A plane-wave DFT calculation with GGA-PBE was carried out for a geometry-optimized Li2CuAg structure.

Cell and atoms, written as extended XYZ:
```
4
Lattice="2.842 0.000 0.000 0.000 2.842 0.000 0.000 0.000 7.292" Properties=species:S:1:pos:R:3 pbc="T T T"
Li 0.000 0.000 1.705
Li 0.000 0.000 5.586
Cu 1.421 1.421 0.000
Ag 1.421 1.421 3.646
```

The electronic total energy comes out at -2.782 eV/atom. The value obtained for the formation energy from the elements is -88 meV per atom.

A plane-wave DFT calculation with GGA-PBE was carried out for a geometry-optimized Mg2IrW structure.

Cell and atoms, written as extended XYZ:
```
4
Lattice="2.942 0.000 0.000 0.000 2.942 0.000 0.000 0.000 8.088" Properties=species:S:1:pos:R:3 pbc="T T T"
Mg 0.000 0.000 0.000
Mg 1.471 1.471 2.525
Ir 1.471 1.471 6.266
W 0.000 0.000 4.593
```

The electronic total energy comes out at -6.320 eV/atom. The value obtained for the formation energy from the elements is -69 meV per atom.

A plane-wave DFT calculation with GGA-PBE was carried out for a geometry-optimized KTmAu2 structure.

Cell and atoms, written as extended XYZ:
```
4
Lattice="3.636 0.000 0.000 0.000 3.636 0.000 0.000 0.000 8.121" Properties=species:S:1:pos:R:3 pbc="T T T"
K 0.000 0.000 0.000
Tm 0.000 0.000 4.060
Au 1.818 1.818 2.548
Au 1.818 1.818 5.573
```

The electronic total energy comes out at -3.630 eV/atom. The value obtained for the formation energy from the elements is -599 meV per atom. As for the energy above the lowest structure with this stoichiometry: 0.0 meV per atom.

A plane-wave DFT calculation with GGA-PBE was carried out for a geometry-optimized RbBa2SnBr8 structure.

Cell and atoms, written as extended XYZ:
```
12
Lattice="7.157 0.000 0.000 0.000 9.945 0.000 -0.047 0.000 7.257" Properties=species:S:1:pos:R:3 pbc="T T T"
Rb 0.000 0.000 0.000
Ba 3.555 2.522 3.629
Ba 3.555 7.423 3.629
Sn 0.000 4.973 0.000
Br 1.597 2.941 6.228
Br 1.597 7.004 6.228
Br 1.648 4.973 2.374
Br 1.839 0.000 2.749
Br 5.271 0.000 4.508
Br 5.463 4.973 4.883
Br 5.514 2.941 1.029
Br 5.514 7.004 1.029
```

The electronic total energy comes out at -3.397 eV/atom. The value obtained for the uncorrected formation energy is -1547 meV per atom.

A plane-wave DFT calculation with GGA-PBE was carried out for a geometry-optimized Zn2FeSe structure.

Cell and atoms, written as extended XYZ:
```
4
Lattice="3.763 0.000 0.000 0.000 3.803 0.000 0.000 0.000 4.332" Properties=species:S:1:pos:R:3 pbc="T T T"
Zn 0.000 0.000 0.000
Zn 1.882 0.000 2.166
Fe 0.000 1.902 2.166
Se 1.882 1.902 0.000
```

The electronic total energy comes out at -3.390 eV/atom. The value obtained for the uncorrected formation energy is 233 meV per atom.

A plane-wave DFT calculation with GGA-PBE was carried out for a geometry-optimized HfPaTaW structure.

Cell and atoms, written as extended XYZ:
```
4
Lattice="0.000 3.428 3.428 3.428 0.000 3.428 3.428 3.428 0.000" Properties=species:S:1:pos:R:3 pbc="T T T"
Hf 0.000 0.000 0.000
Pa 3.428 3.428 3.428
Ta 5.142 5.142 5.142
W 1.714 1.714 1.714
```

The electronic total energy comes out at -10.922 eV/atom. The value obtained for the formation energy from the elements is 141 meV per atom.